BSbH6F (PBE, relaxed); DFT total energy = -3.8731 eV/atom; size of the total moment = 0.00 μB/atom
1.0
3.390 0.000 0.000
-0.698 5.525 0.000
-0.728 -0.225 5.983
B Sb H F
1 1 6 1
Direct
0.000 0.000 0.000
0.607 0.676 0.537
0.158 0.101 0.853
0.202 0.942 0.163
0.599 0.443 0.724
0.693 0.117 0.051
0.728 0.840 0.941
0.909 0.199 0.107
0.482 0.437 0.279